## TaB2Mo4 (PBE)

Data for a relaxed structure of TaB2Mo4.

The structure in extended XYZ format:
```
7
Lattice="-1.894 -0.964 3.879 3.965 -0.784 1.741 -1.639 5.099 0.467" Properties=species:S:1:pos:R:3 pbc="T T T"
Ta 0.000 0.000 0.000
B 1.098 -0.011 3.055
B -0.667 3.362 3.032
Mo 1.266 2.292 3.710
Mo 2.099 1.210 1.326
Mo -0.835 1.059 2.378
Mo 0.226 3.105 0.882
```

Properties
- Total energy: -9.730 eV per atom
- Size of the total moment: 0.00 μB/f.u.
- V: 13.64 Å³/atom
- Formation energy: 0.061 eV/atom
- Symmetry: Cmmm (65)
- Crystal system: orthorhombic

---

## K5NpS6 (PBE)

Data for a relaxed structure of K5NpS6.

The structure in extended XYZ format:
```
12
Lattice="-5.432 -3.974 -3.413 8.452 -0.831 -1.796 -0.988 -2.286 7.233" Properties=species:S:1:pos:R:3 pbc="T T T"
Np 0.000 0.000 0.000
K 4.569 -3.497 2.144
K 1.684 -3.963 -1.064
K 4.226 -0.416 -0.898
K 0.348 -3.129 3.088
K -2.537 -3.594 -0.120
S 1.897 -1.422 0.905
S 6.838 -1.953 -0.190
S -0.505 -1.753 -1.719
S 3.525 -3.052 -3.490
S -4.806 -5.138 2.214
S 0.135 -5.669 1.119
```

Properties
- Total energy: -4.739 eV per atom
- Size of the total moment: 0.00 μB/f.u.
- V: 29.97 Å³/atom
- Energy relative to the elements, uncorrected: -1139 meV per atom
- Symmetry: C2/m (12)
- Crystal system: monoclinic

---

## BW (PBE)

Data for a relaxed structure of BW.

The structure in extended XYZ format:
```
16
Lattice="-2.484 -6.001 2.281 6.367 -1.987 1.705 -0.526 1.731 3.982" Properties=species:S:1:pos:R:3 pbc="T T T"
B -0.096 -1.792 0.767
B 3.979 -6.196 3.220
B -0.549 -5.997 2.535
B 4.431 -1.992 1.451
B 1.582 -4.921 4.751
B 1.775 -1.336 3.217
B 3.614 -3.124 4.238
B -0.257 -3.133 3.730
W 4.196 -3.950 2.272
W -0.314 -4.038 1.715
W 2.011 -1.908 1.095
W 1.871 -6.081 2.891
W -0.492 -5.091 4.551
W 3.849 -1.166 3.417
W 3.690 -5.036 5.079
W -0.333 -1.221 2.889
```

Properties
- Total energy: -9.731 eV per atom
- Size of the total moment: 0.00 μB/f.u.
- V: 12.95 Å³/atom
- Formation energy: 0.084 eV/atom
- Symmetry: I4/m (87)
- Energy relative to the lowest polymorph listed for this composition: 0.453 eV/atom
- Crystal system: tetragonal